No. 1
DFT (GGA-PBE) results for a geometry-optimized Pm3NdIr3 structure.

Output
**Final energy**: -0.5218 Ry/atom
**Distance to the lowest polymorph of the same formula**: 0.0 kJ/mol of atoms
**ΔH_f (0 K)**: -0.59 eV per atom

Cell: 7.602 7.602 7.602 Å, 69.60 69.60 69.60°
Element x y z (fractional)
Pm (0.117, 0.369, 0.818)
Pm (0.182, 0.883, 0.631)
Pm (0.369, 0.818, 0.117)
Pm (0.631, 0.182, 0.883)
Pm (0.818, 0.117, 0.369)
Pm (0.883, 0.631, 0.182)
Nd (0.327, 0.327, 0.327)
Nd (0.673, 0.673, 0.673)
Ir (0.057, 0.696, 0.439)
Ir (0.304, 0.561, 0.943)
Ir (0.439, 0.057, 0.696)
Ir (0.561, 0.943, 0.304)
Ir (0.696, 0.439, 0.057)
Ir (0.943, 0.304, 0.561)

No. 2
DFT (GGA-PBE) results for a geometry-optimized PmNd3Ir structure.

Output
**Final energy**: -0.4284 Ry/atom
**Distance to the lowest polymorph of the same formula**: 1.2 kJ/mol of atoms
**ΔH_f (0 K)**: -0.25 eV per atom

Cell: 7.094 7.094 6.784 Å, 104.82 104.82 91.29°
Element x y z (fractional)
Pm (0.067, 0.067, 0.268)
Pm (0.933, 0.933, 0.732)
Nd (0.067, 0.567, 0.267)
Nd (0.432, 0.432, 0.730)
Nd (0.433, 0.933, 0.733)
Nd (0.567, 0.067, 0.267)
Nd (0.568, 0.568, 0.270)
Nd (0.933, 0.433, 0.733)
Ir (0.249, 0.249, 0.000)
Ir (0.751, 0.751, 0.000)